(1)
# MnNi4H6 | the Alexandria database | PBE | relaxed
# Final energy = -211.15 eV per cell
data_MnNi4H6
_space_group_name_H-M_alt 'C m c m'
_space_group_IT_number 63
_space_group_name_Hall '-C 2c 2'
_cell_length_a 2.6589
_cell_length_b 8.7430
_cell_length_c 12.2818
_cell_angle_alpha 90.00
_cell_angle_beta 90.00
_cell_angle_gamma 90.00
loop_
_atom_site_label
_atom_site_type_symbol
_atom_site_fract_x
_atom_site_fract_y
_atom_site_fract_z
Mn1 Mn 0.0000 0.1729 0.2500
Ni1 Ni 0.0000 0.0899 0.6345
Ni2 Ni 0.0000 0.3613 0.5506
H1 H 0.0000 0.0000 0.0000
H2 H 0.0000 0.1842 0.7500
H3 H 0.0000 0.2761 0.0856
H4 H 0.0000 0.4636 0.6658

(2)
# MnNi3H | the Alexandria database | PBE | relaxed
# Final energy = -173.32 eV per cell
data_MnNi3H
_space_group_name_H-M_alt 'R -3'
_space_group_IT_number 148
_space_group_name_Hall '-R 3'
_cell_length_a 4.2628
_cell_length_b 4.2628
_cell_length_c 18.5000
_cell_angle_alpha 90.00
_cell_angle_beta 90.00
_cell_angle_gamma 120.00
loop_
_atom_site_label
_atom_site_type_symbol
_atom_site_fract_x
_atom_site_fract_y
_atom_site_fract_z
Mn1 Mn 0.0000 0.0000 0.1672
Ni1 Ni 0.0003 0.3367 0.7270
H1 H 0.0000 0.0000 0.3337

(3)
# MnNi6H8 | the Alexandria database | PBE | relaxed
# Final energy = -277.07 eV per cell
data_MnNi6H8
_space_group_name_H-M_alt 'F m -3 m'
_space_group_IT_number 225
_space_group_name_Hall '-F 4 2 3'
_cell_length_a 7.7783
_cell_length_b 7.7783
_cell_length_c 7.7783
_cell_angle_alpha 90.00
_cell_angle_beta 90.00
_cell_angle_gamma 90.00
loop_
_atom_site_label
_atom_site_type_symbol
_atom_site_fract_x
_atom_site_fract_y
_atom_site_fract_z
Mn1 Mn 0.0000 0.0000 0.0000
Ni1 Ni 0.0000 0.2500 0.2500
H1 H 0.1380 0.1380 0.1380

(4)
# MnNi3H | the Alexandria database | PBE | relaxed
# Final energy = -58.83 eV per cell
data_MnNi3H
_space_group_name_H-M_alt 'P 63/m m c'
_space_group_IT_number 194
_space_group_name_Hall '-P 6c 2c'
_cell_length_a 2.6946
_cell_length_b 2.6946
_cell_length_c 16.0346
_cell_angle_alpha 90.00
_cell_angle_beta 90.00
_cell_angle_gamma 120.00
loop_
_atom_site_label
_atom_site_type_symbol
_atom_site_fract_x
_atom_site_fract_y
_atom_site_fract_z
Mn1 Mn 0.0000 0.0000 0.0000
Ni1 Ni 0.0000 0.0000 0.2500
Ni2 Ni 0.3333 0.6667 0.1207
H1 H 0.3333 0.6667 0.2500